[1]
# SrBe2Pt PBE-GGA relaxed
data_SrBe2Pt
_space_group_name_H-M_alt 'P 4 m m'
_space_group_IT_number 99
_cell_length_a 3.2044
_cell_length_b 3.2044
_cell_length_c 6.8049
_cell_angle_alpha 90.00
_cell_angle_beta 90.00
_cell_angle_gamma 90.00
loop_
_space_group_symop_operation_xyz
'x,y,z'
'-y,x,z'
'-x,-y,z'
'y,-x,z'
'-x,y,z'
'y,x,z'
'x,-y,z'
'-y,-x,z'
loop_
_atom_site_label
_atom_site_type_symbol
_atom_site_fract_x
_atom_site_fract_y
_atom_site_fract_z
Sr1 Sr 0.0000 0.0000 0.0000
Be1 Be 0.0000 0.0000 0.5251
Be2 Be 0.5000 0.5000 0.3373
Pt1 Pt 0.5000 0.5000 0.6584
# Total energy: -3.822 eV per atom
# Spin magnetization: 0.0 μB per formula unit
# Density of states at the Fermi level: 1.50 states/eV/f.u.
# Energy above the most stable polymorph in this dataset: 185 kJ/mol of formula units

---

[2]
# PmMnAs PBE-GGA relaxed
data_PmMnAs
_space_group_name_H-M_alt 'F d d d'
_space_group_IT_number 70
_cell_length_a 7.5595
_cell_length_b 11.2353
_cell_length_c 12.2004
_cell_angle_alpha 90.00
_cell_angle_beta 90.00
_cell_angle_gamma 90.00
loop_
_space_group_symop_operation_xyz
'x,y,z'
'-x,-y,-z'
'-x+1/4,-y+1/4,z'
'x+1/4,y+1/4,-z'
'x,-y+1/4,-z+1/4'
'-x,y+1/4,z+1/4'
'-x+1/4,y,-z+1/4'
'x+1/4,-y,z+1/4'
'x,y+1/2,z+1/2'
'-x,-y+1/2,-z+1/2'
'-x+1/4,-y+3/4,z+1/2'
'x+1/4,y+3/4,-z+1/2'
'x,-y+3/4,-z+3/4'
'-x,y+3/4,z+3/4'
'-x+1/4,y+1/2,-z+3/4'
'x+1/4,-y+1/2,z+3/4'
'x+1/2,y,z+1/2'
'-x+1/2,-y,-z+1/2'
'-x+3/4,-y+1/4,z+1/2'
'x+3/4,y+1/4,-z+1/2'
'x+1/2,-y+1/4,-z+3/4'
'-x+1/2,y+1/4,z+3/4'
'-x+3/4,y,-z+3/4'
'x+3/4,-y,z+3/4'
'x+1/2,y+1/2,z'
'-x+1/2,-y+1/2,-z'
'-x+3/4,-y+3/4,z'
'x+3/4,y+3/4,-z'
'x+1/2,-y+3/4,-z+1/4'
'-x+1/2,y+3/4,z+1/4'
'-x+3/4,y+1/2,-z+1/4'
'x+3/4,-y+1/2,z+1/4'
loop_
_atom_site_label
_atom_site_type_symbol
_atom_site_fract_x
_atom_site_fract_y
_atom_site_fract_z
Pm1 Pm 0.0000 0.0000 0.0000
Mn1 Mn 0.1250 0.0002 0.6250
As1 As 0.1250 0.1250 0.4533
# Total energy: -6.641 eV per atom
# Spin magnetization: 3.1 μB per formula unit
# Density of states at the Fermi level: 2.18 states/eV/f.u.

---

[3]
# CrAg2Mo PBE-GGA relaxed
data_CrAg2Mo
_space_group_name_H-M_alt 'C m m m'
_space_group_IT_number 65
_space_group_name_Hall '-C 2 2'
_cell_length_a 3.2898
_cell_length_b 4.1139
_cell_length_c 9.2906
_cell_angle_alpha 90.00
_cell_angle_beta 90.00
_cell_angle_gamma 90.00
loop_
_atom_site_label
_atom_site_type_symbol
_atom_site_fract_x
_atom_site_fract_y
_atom_site_fract_z
Cr1 Cr 0.0000 0.0000 0.0000
Ag1 Ag 0.0000 0.5000 0.2402
Mo1 Mo 0.0000 0.0000 0.5000
# Total energy: -5.887 eV per atom
# Spin magnetization: 0.0 μB per formula unit
# Density of states at the Fermi level: 4.35 states/eV/f.u.
# Energy above the most stable polymorph in this dataset: 121 kJ/mol of formula units

---

[4]
# Sr6Mg2Cd PBE-GGA relaxed
data_Sr6Mg2Cd
_space_group_name_H-M_alt 'F m m m'
_space_group_IT_number 69
_space_group_name_Hall '-F 2 2'
_cell_length_a 5.8983
_cell_length_b 14.4337
_cell_length_c 17.6985
_cell_angle_alpha 90.00
_cell_angle_beta 90.00
_cell_angle_gamma 90.00
loop_
_atom_site_label
_atom_site_type_symbol
_atom_site_fract_x
_atom_site_fract_y
_atom_site_fract_z
Sr1 Sr 0.0000 0.1370 0.0000
Sr2 Sr 0.0000 0.1424 0.3369
Mg1 Mg 0.0000 0.0000 0.1725
Cd1 Cd 0.0000 0.0000 0.5000
# Total energy: -1.681 eV per atom
# Spin magnetization: 0.0 μB per formula unit
# Density of states at the Fermi level: 7.86 states/eV/f.u.

---

[5]
# YTaBr2 PBE-GGA relaxed
data_YTaBr2
_space_group_name_H-M_alt 'C 1 2/m 1'
_space_group_IT_number 12
_cell_length_a 13.4789
_cell_length_b 3.3422
_cell_length_c 5.3130
_cell_angle_alpha 90.00
_cell_angle_beta 91.46
_cell_angle_gamma 90.00
loop_
_space_group_symop_operation_xyz
'x,y,z'
'-x,-y,-z'
'-x,y,-z'
'x,-y,z'
'x+1/2,y+1/2,z'
'-x+1/2,-y+1/2,-z'
'-x+1/2,y+1/2,-z'
'x+1/2,-y+1/2,z'
loop_
_atom_site_label
_atom_site_type_symbol
_atom_site_fract_x
_atom_site_fract_y
_atom_site_fract_z
Y1 Y 0.0000 0.0000 0.0000
Ta1 Ta 0.0000 0.5000 0.5000
Br1 Br 0.1587 0.5000 0.2368
# Total energy: -5.650 eV per atom
# Raw formation energy: -0.234 eV per atom
# Spin magnetization: 0.0 μB per formula unit
# Density of states at the Fermi level: 4.71 states/eV/f.u.
# Energy above the most stable polymorph in this dataset: 95 kJ/mol of formula units

---

[6]
# RbTmSn2 PBE-GGA relaxed
data_RbTmSn2
_space_group_name_H-M_alt 'P 4/m m m'
_space_group_IT_number 123
_space_group_name_Hall '-P 4 2'
_cell_length_a 4.0497
_cell_length_b 4.0497
_cell_length_c 8.1979
_cell_angle_alpha 90.00
_cell_angle_beta 90.00
_cell_angle_gamma 90.00
loop_
_atom_site_label
_atom_site_type_symbol
_atom_site_fract_x
_atom_site_fract_y
_atom_site_fract_z
Rb1 Rb 0.0000 0.0000 0.0000
Tm1 Tm 0.0000 0.0000 0.5000
Sn1 Sn 0.5000 0.5000 0.3211
# Total energy: -3.748 eV per atom
# Spin magnetization: 0.0 μB per formula unit
# Density of states at the Fermi level: 1.61 states/eV/f.u.

---

> Number 1 is which compound?

SrBe2Pt